AlHg2Pd6: relaxed, PBE.

a b c (Å): 2.9364 7.5140 7.9334
angles (deg): 118.27 90.00 90.00
Sites, in units of the cell vectors:
Pd 0.5000 0.2882 0.0000
Pd 0.0000 0.0201 0.6829
Pd 0.5000 0.7118 0.0000
Hg 0.5000 0.6812 0.3625
Pd 0.0000 0.3372 0.3171
Pd 0.0000 0.6628 0.6829
Al 0.0000 0.0000 0.0000
Hg 0.5000 0.3188 0.6375
Pd 0.0000 0.9799 0.3171

Calculated values
Relative energy among the computed polymorphs ... 0.0 kJ/mol of atoms
Density of states at the Fermi level ... 3.88 states/eV/cell
Energy of formation ... -0.25 eV/atom
DFT total energy ... -4.197 eV per atom

=====

AlHg2Pd8: relaxed, PBE.

a b c (Å): 4.1192 6.2296 7.4606
angles (deg): 104.19 106.03 90.00
Sites, in units of the cell vectors:
Pd 0.0392 0.7304 0.0783
Hg 0.2225 0.6481 0.4449
Pd 0.9608 0.2696 0.9217
Al 0.5000 0.0000 0.0000
Pd 0.5874 0.4389 0.1748
Hg 0.7775 0.3519 0.5551
Pd 0.8653 0.8270 0.7306
Pd 0.6717 0.9083 0.3433
Pd 0.3283 0.0917 0.6567
Pd 0.1347 0.1730 0.2694
Pd 0.4126 0.5611 0.8252

Calculated values
Density of states at the Fermi level ... 6.98 states/eV/cell
Energy of formation ... -0.30 eV/atom
DFT total energy ... -4.470 eV per atom

=====

Al2Hg2Pd: relaxed, PBE.

a b c (Å): 7.3912 7.3912 3.5920
angles (deg): 90.00 90.00 90.00
Sites, in units of the cell vectors:
Pd 0.5000 0.5000 0.0000
Hg 0.1441 0.3559 0.0000
Al 0.6627 0.8373 0.5000
Hg 0.3559 0.8559 0.0000
Al 0.8373 0.3373 0.5000
Al 0.3373 0.1627 0.5000
Hg 0.8559 0.6441 0.0000
Hg 0.6441 0.1441 0.0000
Al 0.1627 0.6627 0.5000
Pd 0.0000 0.0000 0.0000

Calculated values
Relative energy among the computed polymorphs ... 20.4 kJ/mol of atoms
Density of states at the Fermi level ... 4.24 states/eV/cell
Energy of formation ... 0.15 eV/atom
DFT total energy ... -2.502 eV per atom

=====

AlHg3Pd: relaxed, PBE.

a b c (Å): 5.2572 5.2572 5.2572
angles (deg): 90.00 90.00 90.00
Sites, in units of the cell vectors:
Al 0.5000 0.5000 0.5000
Hg 0.0000 0.5000 0.0000
Hg 0.0000 0.0000 0.5000
Hg 0.5000 0.0000 0.0000
Pd 0.0000 0.0000 0.0000

Calculated values
Relative energy among the computed polymorphs ... 0.0 kJ/mol of atoms
Density of states at the Fermi level ... 2.21 states/eV/cell
Energy of formation ... 0.29 eV/atom
DFT total energy ... -1.674 eV per atom

=====

AlHg2Pd6: relaxed, PBE.

a b c (Å): 2.9163 7.6695 8.0817
angles (deg): 118.33 100.19 90.00
Sites, in units of the cell vectors:
Pd 0.5000 0.2657 0.0000
Hg 0.3449 0.3428 0.6856
Hg 0.6551 0.6572 0.3144
Pd 0.5000 0.7343 0.0000
Pd 0.8361 0.0142 0.6683
Pd 0.1639 0.3459 0.3317
Pd 0.1639 0.9858 0.3317
Pd 0.8361 0.6541 0.6683
Al 0.0000 0.0000 0.0000

Calculated values
Relative energy among the computed polymorphs ... 0.8 kJ/mol of atoms
Density of states at the Fermi level ... 3.99 states/eV/cell
Energy of formation ... -0.24 eV/atom
DFT total energy ... -4.189 eV per atom

=====

Pm2Al4HgPd3: relaxed, PBE.

a b c (Å): 4.3385 4.3385 10.6002
angles (deg): 90.00 90.00 90.00
Sites, in units of the cell vectors:
Al 0.5000 0.5000 0.0000
Pd 0.0000 0.0000 0.5000
Pm 0.5000 0.0000 0.2422
Pd 0.5000 0.0000 0.8737
Pm 0.0000 0.5000 0.7578
Pd 0.0000 0.5000 0.1263
Al 0.0000 0.0000 0.0000
Hg 0.5000 0.5000 0.5000
Al 0.5000 0.0000 0.6417
Al 0.0000 0.5000 0.3583

Calculated values
Density of states at the Fermi level ... 8.22 states/eV/cell
Energy of formation ... -0.73 eV/atom
DFT total energy ... -4.762 eV per atom

=====

PmAlHgPd: relaxed, PBE.

a b c (Å): 4.9197 4.9197 4.9197
angles (deg): 60.00 60.00 60.00
Sites, in units of the cell vectors:
Hg 0.0000 0.0000 0.0000
Pm 0.2500 0.2500 0.2500
Al 0.7500 0.7500 0.7500
Pd 0.5000 0.5000 0.5000

Calculated values
Density of states at the Fermi level ... 1.15 states/eV/cell
Energy of formation ... -0.52 eV/atom
DFT total energy ... -4.020 eV per atom

=====

Pm2Al2HgPd5: relaxed, PBE.

a b c (Å): 3.5757 10.3485 10.3485
angles (deg): 90.00 90.00 90.00
Sites, in units of the cell vectors:
Al 0.0000 0.8802 0.3802
Pd 0.5000 0.0000 0.5000
Pm 0.0000 0.1781 0.3219
Pm 0.0000 0.3219 0.8219
Pd 0.5000 0.0616 0.7859
Pd 0.5000 0.7859 0.9384
Hg 0.0000 0.5000 0.5000
Al 0.0000 0.6198 0.8802
Pd 0.5000 0.5000 0.0000
Pd 0.5000 0.7141 0.4384
Pd 0.5000 0.5616 0.7141
Pd 0.5000 0.2859 0.5616
Hg 0.0000 0.0000 0.0000
Pd 0.5000 0.9384 0.2141
Al 0.0000 0.3802 0.1198
Pd 0.5000 0.4384 0.2859
Pm 0.0000 0.8219 0.6781
Pm 0.0000 0.6781 0.1781
Al 0.0000 0.1198 0.6198
Pd 0.5000 0.2141 0.0616

Calculated values
Density of states at the Fermi level ... 13.39 states/eV/cell
Energy of formation ... -0.67 eV/atom
DFT total energy ... -4.993 eV per atom

=====

Pr2Al4HgPd3: relaxed, PBE.

a b c (Å): 4.3867 4.3867 10.5603
angles (deg): 90.00 90.00 90.00
Sites, in units of the cell vectors:
Pr 0.0000 0.5000 0.7563
Hg 0.5000 0.5000 0.5000
Pd 0.5000 0.0000 0.8753
Al 0.5000 0.0000 0.6405
Pr 0.5000 0.0000 0.2437
Al 0.0000 0.5000 0.3595
Pd 0.0000 0.0000 0.5000
Al 0.0000 0.0000 0.0000
Al 0.5000 0.5000 0.0000
Pd 0.0000 0.5000 0.1247

Calculated values
Density of states at the Fermi level ... 9.18 states/eV/cell
Energy of formation ... -0.72 eV/atom
DFT total energy ... -4.765 eV per atom

=====

Pr3Al2HgPd9: relaxed, PBE.

a b c (Å): 5.7851 5.7851 11.8299
angles (deg): 90.00 90.00 120.00
Sites, in units of the cell vectors:
Pd 0.6769 0.8384 0.3052
Pd 0.8384 0.6769 0.6948
Pd 0.1616 0.8384 0.3052
Al 0.3333 0.6667 0.1594
Pd 0.5000 0.5000 0.0000
Pd 0.0000 0.5000 0.0000
Pd 0.8384 0.1616 0.6948
Pr 0.3333 0.6667 0.7580
Al 0.6667 0.3333 0.8406
Pd 0.5000 0.0000 0.0000
Pr 0.6667 0.3333 0.2420
Pd 0.3231 0.1616 0.6948
Hg 0.0000 0.0000 0.5000
Pr 0.0000 0.0000 0.0000
Pd 0.1616 0.3231 0.3052

Calculated values
Density of states at the Fermi level ... 5.18 states/eV/cell
Energy of formation ... -0.58 eV/atom
DFT total energy ... -5.169 eV per atom

=====

Sm2Al3HgPd4: relaxed, PBE.

a b c (Å): 4.3062 4.3062 10.7455
angles (deg): 90.00 90.00 90.00
Sites, in units of the cell vectors:
Sm 0.5000 0.0000 0.2426
Hg 0.5000 0.5000 0.5000
Al 0.5000 0.0000 0.8815
Pd 0.5000 0.0000 0.6550
Al 0.0000 0.5000 0.1185
Pd 0.0000 0.0000 0.0000
Sm 0.0000 0.5000 0.7574
Pd 0.0000 0.5000 0.3450
Pd 0.5000 0.5000 0.0000
Al 0.0000 0.0000 0.5000

Calculated values
Density of states at the Fermi level ... 6.29 states/eV/cell
Energy of formation ... -0.74 eV/atom
DFT total energy ... -4.914 eV per atom

=====

Sr2AlHgPd6: relaxed, PBE.

a b c (Å): 5.5801 8.8429 7.0782
angles (deg): 47.92 66.66 89.70
Sites, in units of the cell vectors:
Sr 0.2415 0.7701 0.5169
Hg 0.5000 0.5000 0.0000
Pd 0.2382 0.4140 0.5055
Sr 0.7585 0.2299 0.4831
Pd 0.2531 0.2310 0.9988
Al 0.0000 0.0000 0.0000
Pd 0.7446 0.2244 0.0147
Pd 0.2554 0.7756 0.9853
Pd 0.7618 0.5860 0.4946
Pd 0.7469 0.7690 0.0012

Calculated values
Density of states at the Fermi level ... 4.32 states/eV/cell
Energy of formation ... -0.53 eV/atom
DFT total energy ... -4.386 eV per atom